(1)
Density functional theory data (GGA-PBE) for SbIrW after structural relaxation.

Properties
**Space group**: P3m1 (156)
**ΔE to the lowest computed polymorph**: 0.098 eV/atom
**Total magnetic moment**: 0.00 Bohr magnetons per cell
**Uncorrected formation energy**: 0.348 eV per atom

The structure in CIF format:
```
data_SbIrW
_chemical_formula_sum 'Sb1 Ir1 W1'
_symmetry_space_group_name_H-M 'P 1'
_symmetry_Int_Tables_number 1
_cell_length_a 3.006
_cell_length_b 3.006
_cell_length_c 6.747
_cell_angle_alpha 90.00
_cell_angle_beta 90.00
_cell_angle_gamma 120.00
loop_
_symmetry_equiv_pos_as_xyz
'x,y,z'
loop_
_atom_site_label
_atom_site_type_symbol
_atom_site_fract_x
_atom_site_fract_y
_atom_site_fract_z
W1 W 0.333 0.667 0.684
Ir1 Ir 0.000 0.000 0.986
Sb1 Sb 0.667 0.333 0.331
```

(2)
Density functional theory data (GGA-PBE) for Sb2IrW after structural relaxation.

Properties
**Space group**: P4mm (99)
**ΔE to the lowest computed polymorph**: 0.000 eV/atom
**Total magnetic moment**: 0.00 Bohr magnetons per cell
**Uncorrected formation energy**: 0.154 eV per atom

The structure in CIF format:
```
data_Sb2IrW
_chemical_formula_sum 'Sb2 Ir1 W1'
_symmetry_space_group_name_H-M 'P 1'
_symmetry_Int_Tables_number 1
_cell_length_a 3.009
_cell_length_b 3.009
_cell_length_c 9.561
_cell_angle_alpha 90.00
_cell_angle_beta 90.00
_cell_angle_gamma 90.00
loop_
_symmetry_equiv_pos_as_xyz
'x,y,z'
loop_
_atom_site_label
_atom_site_type_symbol
_atom_site_fract_x
_atom_site_fract_y
_atom_site_fract_z
W1 W 0.000 0.000 0.538
Sb1 Sb 0.500 0.500 0.319
Ir1 Ir 0.500 0.500 0.710
Sb2 Sb 0.000 0.000 0.933
```

(3)
Density functional theory data (GGA-PBE) for SbIrW2 after structural relaxation.

Properties
**Space group**: P4/mmm (123)
**Total magnetic moment**: 0.00 Bohr magnetons per cell
**Uncorrected formation energy**: 0.399 eV per atom

The structure in CIF format:
```
data_SbIrW2
_chemical_formula_sum 'Sb1 Ir1 W2'
_symmetry_space_group_name_H-M 'P 1'
_symmetry_Int_Tables_number 1
_cell_length_a 3.052
_cell_length_b 3.052
_cell_length_c 7.181
_cell_angle_alpha 90.00
_cell_angle_beta 90.00
_cell_angle_gamma 90.00
loop_
_symmetry_equiv_pos_as_xyz
'x,y,z'
loop_
_atom_site_label
_atom_site_type_symbol
_atom_site_fract_x
_atom_site_fract_y
_atom_site_fract_z
Ir1 Ir 0.500 0.500 0.250
W1 W 0.000 0.000 0.493
W2 W 0.000 0.000 0.007
Sb1 Sb 0.500 0.500 0.750
```

(4)
Density functional theory data (GGA-PBE) for Y2SbIr2 after structural relaxation.

Properties
**Space group**: P4/mbm (127)
**Total magnetic moment**: 0.00 Bohr magnetons per cell
**Uncorrected formation energy**: -0.688 eV per atom

The structure in CIF format:
```
data_Y2SbIr2
_chemical_formula_sum 'Y4 Sb2 Ir4'
_symmetry_space_group_name_H-M 'P 1'
_symmetry_Int_Tables_number 1
_cell_length_a 7.417
_cell_length_b 7.417
_cell_length_c 3.970
_cell_angle_alpha 90.00
_cell_angle_beta 90.00
_cell_angle_gamma 90.00
loop_
_symmetry_equiv_pos_as_xyz
'x,y,z'
loop_
_atom_site_label
_atom_site_type_symbol
_atom_site_fract_x
_atom_site_fract_y
_atom_site_fract_z
Sb1 Sb 0.500 0.500 0.000
Ir1 Ir 0.625 0.125 0.000
Ir2 Ir 0.375 0.875 0.000
Y1 Y 0.677 0.823 0.500
Y2 Y 0.177 0.677 0.500
Sb2 Sb 0.000 0.000 0.000
Y3 Y 0.323 0.177 0.500
Ir3 Ir 0.125 0.375 0.000
Ir4 Ir 0.875 0.625 0.000
Y4 Y 0.823 0.323 0.500
```

(5)
Density functional theory data (GGA-PBE) for Y4SbIr after structural relaxation.

Properties
**Space group**: F-43m (216)
**ΔE to the lowest computed polymorph**: 1.076 eV/atom
**Total magnetic moment**: 0.05 Bohr magnetons per cell
**Uncorrected formation energy**: 0.398 eV per atom

The structure in CIF format:
```
data_Y4SbIr
_chemical_formula_sum 'Y4 Sb1 Ir1'
_symmetry_space_group_name_H-M 'P 1'
_symmetry_Int_Tables_number 1
_cell_length_a 6.036
_cell_length_b 6.036
_cell_length_c 6.036
_cell_angle_alpha 60.00
_cell_angle_beta 60.00
_cell_angle_gamma 60.00
loop_
_symmetry_equiv_pos_as_xyz
'x,y,z'
loop_
_atom_site_label
_atom_site_type_symbol
_atom_site_fract_x
_atom_site_fract_y
_atom_site_fract_z
Y1 Y 0.376 0.873 0.376
Sb1 Sb 0.000 0.000 0.000
Y2 Y 0.376 0.376 0.376
Ir1 Ir 0.750 0.750 0.750
Y3 Y 0.376 0.376 0.873
Y4 Y 0.873 0.376 0.376
```

(6)
Density functional theory data (GGA-PBE) for Y4SbIr after structural relaxation.

Properties
**Space group**: P2_1/m (11)
**ΔE to the lowest computed polymorph**: 0.000 eV/atom
**Total magnetic moment**: 0.00 Bohr magnetons per cell
**Uncorrected formation energy**: -0.678 eV per atom

The structure in CIF format:
```
data_Y4SbIr
_chemical_formula_sum 'Y8 Sb2 Ir2'
_symmetry_space_group_name_H-M 'P 1'
_symmetry_Int_Tables_number 1
_cell_length_a 5.779
_cell_length_b 6.657
_cell_length_c 9.296
_cell_angle_alpha 90.00
_cell_angle_beta 115.58
_cell_angle_gamma 90.00
loop_
_symmetry_equiv_pos_as_xyz
'x,y,z'
loop_
_atom_site_label
_atom_site_type_symbol
_atom_site_fract_x
_atom_site_fract_y
_atom_site_fract_z
Y1 Y 0.367 0.750 0.148
Y2 Y 0.934 0.008 0.261
Ir1 Ir 0.197 0.250 0.546
Sb1 Sb 0.291 0.250 0.071
Y3 Y 0.417 0.750 0.559
Sb2 Sb 0.709 0.750 0.929
Y4 Y 0.934 0.492 0.261
Ir2 Ir 0.803 0.750 0.454
Y5 Y 0.066 0.992 0.739
Y6 Y 0.583 0.250 0.441
Y7 Y 0.633 0.250 0.852
Y8 Y 0.066 0.508 0.739
```

(7)
Density functional theory data (GGA-PBE) for YSbIr after structural relaxation.

Properties
**Space group**: I4mm (107)
**Total magnetic moment**: 0.00 Bohr magnetons per cell
**Uncorrected formation energy**: -0.450 eV per atom

The structure in CIF format:
```
data_YSbIr
_chemical_formula_sum 'Y1 Sb1 Ir1'
_symmetry_space_group_name_H-M 'P 1'
_symmetry_Int_Tables_number 1
_cell_length_a 6.033
_cell_length_b 6.033
_cell_length_c 3.447
_cell_angle_alpha 73.40
_cell_angle_beta 73.40
_cell_angle_gamma 33.20
loop_
_symmetry_equiv_pos_as_xyz
'x,y,z'
loop_
_atom_site_label
_atom_site_type_symbol
_atom_site_fract_x
_atom_site_fract_y
_atom_site_fract_z
Ir1 Ir 0.986 0.986 0.014
Y1 Y 0.652 0.652 0.348
Sb1 Sb 0.362 0.362 0.638
```

(8)
Density functional theory data (GGA-PBE) for YSbIr after structural relaxation.

Properties
**Space group**: Imm2 (44)
**Total magnetic moment**: 0.00 Bohr magnetons per cell
**Uncorrected formation energy**: -0.345 eV per atom

The structure in CIF format:
```
data_YSbIr
_chemical_formula_sum 'Y1 Sb1 Ir1'
_symmetry_space_group_name_H-M 'P 1'
_symmetry_Int_Tables_number 1
_cell_length_a 5.290
_cell_length_b 5.290
_cell_length_c 5.290
_cell_angle_alpha 138.18
_cell_angle_beta 135.62
_cell_angle_gamma 62.62
loop_
_symmetry_equiv_pos_as_xyz
'x,y,z'
loop_
_atom_site_label
_atom_site_type_symbol
_atom_site_fract_x
_atom_site_fract_y
_atom_site_fract_z
Y1 Y 0.650 0.650 0.000
Ir1 Ir 0.025 0.025 0.000
Sb1 Sb 0.325 0.325 0.000
```